(1)
Density functional theory data (PBE-GGA) for a relaxed Th2TeSe crystal.

Computed properties:
Space-group type: Fm-3m
E above lowest polymorph: 0.362 eV/f.u.
Formation energy without anion corrections: -1.1929 eV/atom

a = 5.3236 Å, b = 5.3236 Å, c = 5.3236 Å
α = 60.00°, β = 60.00°, γ = 60.00°
Closest atoms and distances in Å follow each position.
Fractional coordinates of all 4 atoms:
Te 0.0000 0.0000 0.0000  8 Th 3.26
Se 0.5000 0.5000 0.5000  8 Th 3.26
Th 0.2500 0.2500 0.2500  4 Se 3.26, 4 Te 3.26
Th 0.7500 0.7500 0.7500  4 Se 3.26, 4 Te 3.26

***

(2)
Density functional theory data (PBE-GGA) for a relaxed Tb3Dy6Tm2Mg crystal.

Computed properties:
Space-group type: C2/m
E_form: 30.8 meV/atom

a = 6.1068 Å, b = 6.1068 Å, c = 11.5999 Å
α = 95.07°, β = 95.07°, γ = 120.01°
Closest atoms and distances in Å follow each position.
Fractional coordinates of all 12 atoms:
Tb 0.1660 0.8340 0.5000  6 Tb 3.51-3.53, 6 Dy 3.53-3.54
Tb 0.8340 0.1660 0.5000  6 Tb 3.51-3.53, 6 Dy 3.53-3.54
Tb 0.5000 0.5000 0.5000  6 Tb 3.52-3.53, 6 Dy 3.53-3.54
Dy 0.9185 0.5854 0.7536  1 Mg 3.47, 2 Tm 3.47-3.48, 6 Dy 3.52-3.53, 3 Tb 3.54
Dy 0.7481 0.7481 0.2475  2 Tm 3.48, 1 Mg 3.49, 6 Dy 3.52-3.53, 3 Tb 3.53
Dy 0.0815 0.4146 0.2464  1 Mg 3.47, 2 Tm 3.47-3.48, 6 Dy 3.52-3.53, 3 Tb 3.54
Dy 0.5854 0.9185 0.7536  1 Mg 3.47, 2 Tm 3.47-3.48, 6 Dy 3.52-3.53, 3 Tb 3.54
Dy 0.2519 0.2519 0.7525  2 Tm 3.48, 1 Mg 3.49, 6 Dy 3.52-3.53, 3 Tb 3.53
Dy 0.4146 0.0815 0.2464  1 Mg 3.47, 2 Tm 3.47-3.48, 6 Dy 3.52-3.53, 3 Tb 3.54
Tm 0.3337 0.6663 0.0000  6 Dy 3.47-3.48, 3 Tm 3.52-3.53, 3 Mg 3.52-3.53
Tm 0.6663 0.3337 0.0000  6 Dy 3.47-3.48, 3 Tm 3.52-3.53, 3 Mg 3.52-3.53
Mg 0.0000 0.0000 0.0000  6 Dy 3.47-3.49, 6 Tm 3.52-3.53

***

(3)
Density functional theory data (PBE-GGA) for a relaxed NbTlTc2Te crystal.

Computed properties:
Space-group type: P4/mmm
Formation energy without anion corrections: 2.1125 eV/atom

a = 5.0664 Å, b = 5.2832 Å, c = 5.0664 Å
α = 90.00°, β = 90.00°, γ = 90.00°
Closest atoms and distances in Å follow each position.
Fractional coordinates of all 5 atoms:
Tl 0.0000 0.0000 0.0000  4 Tc 2.53, 2 Nb 2.64
Te 0.5000 0.5000 0.5000  4 Nb 3.58, 8 Tc 3.66
Tc 0.0000 0.0000 0.5000  2 Tl 2.53
Tc 0.5000 0.0000 0.0000  2 Tl 2.53
Nb 0.0000 0.5000 0.0000  2 Tl 2.64

***

(4)
Density functional theory data (PBE-GGA) for a relaxed SrAcEuY crystal.

Computed properties:
Space-group type: F-43m
E_form: 156.5 meV/atom

a = 6.2046 Å, b = 6.2046 Å, c = 6.2046 Å
α = 60.00°, β = 60.00°, γ = 60.00°
Closest atoms and distances in Å follow each position.
Fractional coordinates of all 4 atoms:
Eu 0.7500 0.7500 0.7500  4 Y 3.80, 4 Sr 3.80
Y 0.5000 0.5000 0.5000  4 Eu 3.80, 4 Ac 3.80
Ac 0.2500 0.2500 0.2500  4 Sr 3.80, 4 Y 3.80
Sr 0.0000 0.0000 0.0000  4 Ac 3.80, 4 Eu 3.80

***

(5)
Density functional theory data (PBE-GGA) for a relaxed LiSi2Cl crystal.

Computed properties:
Space-group type: P1
E above lowest polymorph: 0.119 eV/f.u.
Formation energy without anion corrections: -0.6427 eV/atom

a = 3.8379 Å, b = 3.8398 Å, c = 13.2608 Å
α = 81.92°, β = 81.91°, γ = 60.06°
Closest atoms and distances in Å follow each position.
Fractional coordinates of all 8 atoms:
Li 0.6496 0.2476 0.7065  4 Cl 2.28-2.42
Li 0.8868 0.5167 0.9628  3 Cl 2.46-2.47
Si 0.4195 0.0188 0.3882  4 Si 2.32-2.42
Si 0.1638 0.7668 0.1420  3 Si 2.36
Si 0.0689 0.6679 0.4416  3 Si 2.32, 1 Cl 2.50
Si 0.4773 0.0806 0.2034  4 Si 2.36-2.42
Cl 0.0069 0.6054 0.6326  3 Li 2.42, 1 Si 2.50
Cl 0.5810 0.2074 0.8805  4 Li 2.28-2.47

***

(6)
Density functional theory data (PBE-GGA) for a relaxed Sr2AsHS crystal.

Computed properties:
Space-group type: P4/mmm
Electronic total energy: -19.7 eV/f.u.

a = 5.7101 Å, b = 3.7178 Å, c = 5.7101 Å
α = 90.00°, β = 90.00°, γ = 90.00°
Closest atoms and distances in Å follow each position.
Fractional coordinates of all 5 atoms:
Sr 0.0000 0.0000 0.5000  2 S 2.86
Sr 0.5000 0.0000 0.0000  2 S 2.86
As 0.5000 0.5000 0.5000  8 Sr 3.41, 2 As 3.72
S 0.0000 0.0000 0.0000  2 H 1.86
H 0.0000 0.5000 0.0000  2 S 1.86

***

(7)
Density functional theory data (PBE-GGA) for a relaxed Pm2Sm12Y7 crystal.

Computed properties:
Space-group type: P-6
E_form: 42.9 meV/atom

a = 3.5617 Å, b = 15.1016 Å, c = 15.1016 Å
α = 120.00°, β = 90.00°, γ = 90.00°
Closest atoms and distances in Å follow each position.
Fractional coordinates of all 21 atoms:
Pm 0.5000 0.0000 0.0000  2 Pm 3.56, 6 Y 3.70, 6 Sm 3.95
Pm 0.0000 0.6667 0.3333  2 Pm 3.56, 6 Y 3.67, 6 Sm 3.96
Sm 0.5000 0.8703 0.5889  4 Y 3.38-3.58, 6 Sm 3.56-3.59
Sm 0.5000 0.7186 0.1297  4 Y 3.38-3.58, 6 Sm 3.56-3.59
Sm 0.5000 0.4111 0.2814  4 Y 3.38-3.58, 6 Sm 3.56-3.59
Sm 0.5000 0.2718 0.8401  8 Sm 3.56-3.76, 5 Y 3.61-3.66
Sm 0.5000 0.5683 0.7282  8 Sm 3.56-3.76, 5 Y 3.61-3.66
Sm 0.5000 0.1599 0.4317  8 Sm 3.56-3.76, 5 Y 3.61-3.66
Sm 0.0000 0.0822 0.6001  4 Y 3.40-3.56, 8 Sm 3.56-3.76
Sm 0.0000 0.5179 0.9178  4 Y 3.40-3.56, 8 Sm 3.56-3.76
Sm 0.0000 0.3999 0.4821  4 Y 3.40-3.56, 8 Sm 3.56-3.76
Sm 0.0000 0.7936 0.7461  4 Y 3.34-3.58, 6 Sm 3.56-3.73
Sm 0.0000 0.9525 0.2064  4 Y 3.34-3.58, 6 Sm 3.56-3.73
Sm 0.0000 0.2539 0.0475  4 Y 3.34-3.58, 6 Sm 3.56-3.73
Y 0.0000 0.3333 0.6667  9 Sm 3.40-3.65, 2 Y 3.56
Y 0.0000 0.0482 0.8137  7 Sm 3.34-3.66, 2 Y 3.56, 2 Pm 3.70
Y 0.0000 0.7654 0.9518  7 Sm 3.34-3.66, 2 Y 3.56, 2 Pm 3.70
Y 0.0000 0.1863 0.2346  7 Sm 3.34-3.66, 2 Y 3.56, 2 Pm 3.70
Y 0.5000 0.6200 0.5190  7 Sm 3.38-3.61, 2 Y 3.56, 2 Pm 3.67
Y 0.5000 0.8990 0.3800  7 Sm 3.38-3.61, 2 Y 3.56, 2 Pm 3.67
Y 0.5000 0.4810 0.1010  7 Sm 3.38-3.61, 2 Y 3.56, 2 Pm 3.67

***

(8)
Density functional theory data (PBE-GGA) for a relaxed BaHfMgZr2 crystal.

Computed properties:
Space-group type: P4/mmm
E_form: 1026.6 meV/atom

a = 5.3333 Å, b = 6.0584 Å, c = 5.3333 Å
α = 90.00°, β = 90.00°, γ = 90.00°
Closest atoms and distances in Å follow each position.
Fractional coordinates of all 5 atoms:
Mg 0.5000 0.5000 0.5000  4 Ba 3.77, 8 Zr 4.04
Hf 0.0000 0.0000 0.0000  4 Zr 2.67
Ba 0.0000 0.5000 0.0000  2 Hf 3.03
Zr 0.0000 0.0000 0.5000  2 Hf 2.67
Zr 0.5000 0.0000 0.0000  2 Hf 2.67

***

(9)
Density functional theory data (PBE-GGA) for a relaxed HoPu3Hg12 crystal.

Computed properties:
Space-group type: P4/mmm
E_form: -145.2 meV/atom

a = 4.6728 Å, b = 4.6728 Å, c = 18.9710 Å
α = 90.00°, β = 90.00°, γ = 90.00°
Closest atoms and distances in Å follow each position.
Fractional coordinates of all 16 atoms:
Ho 0.0000 0.0000 0.0000  12 Hg 3.27-3.30
Pu 0.0000 0.0000 0.2476  12 Hg 3.30-3.35
Pu 0.0000 0.0000 0.5000  12 Hg 3.30-3.35
Pu 0.0000 0.0000 0.7524  12 Hg 3.30-3.35
Hg 0.5000 0.5000 0.0000  8 Hg 3.27, 4 Ho 3.30
Hg 0.5000 0.5000 0.2445  4 Pu 3.30, 8 Hg 3.31-3.38
Hg 0.5000 0.5000 0.5000  4 Pu 3.30, 8 Hg 3.35
Hg 0.5000 0.5000 0.7555  4 Pu 3.30, 8 Hg 3.31-3.38
Hg 0.5000 0.0000 0.1208  8 Hg 3.27-3.31, 2 Ho 3.27, 2 Pu 3.35
Hg 0.5000 0.0000 0.3733  8 Hg 3.30-3.38, 4 Pu 3.34-3.35
Hg 0.5000 0.0000 0.6267  8 Hg 3.30-3.38, 4 Pu 3.34-3.35
Hg 0.5000 0.0000 0.8792  8 Hg 3.27-3.31, 2 Ho 3.27, 2 Pu 3.35
Hg 0.0000 0.5000 0.1208  8 Hg 3.27-3.31, 2 Ho 3.27, 2 Pu 3.35
Hg 0.0000 0.5000 0.3733  8 Hg 3.30-3.38, 4 Pu 3.34-3.35
Hg 0.0000 0.5000 0.6267  8 Hg 3.30-3.38, 4 Pu 3.34-3.35
Hg 0.0000 0.5000 0.8792  8 Hg 3.27-3.31, 2 Ho 3.27, 2 Pu 3.35

***

(10)
Density functional theory data (PBE-GGA) for a relaxed TeP3Os crystal.

Computed properties:
Space-group type: Pm-3m
E above lowest polymorph: 0.000 eV/f.u.
Formation energy without anion corrections: 0.5883 eV/atom

a = 4.6382 Å, b = 4.6382 Å, c = 4.6382 Å
α = 90.00°, β = 90.00°, γ = 90.00°
Closest atoms and distances in Å follow each position.
Fractional coordinates of all 5 atoms:
P 0.0000 0.5000 0.0000  2 Os 2.32
P 0.0000 0.0000 0.5000  2 Os 2.32
P 0.5000 0.0000 0.0000  2 Os 2.32
Te 0.5000 0.5000 0.5000  12 P 3.28
Os 0.0000 0.0000 0.0000  6 P 2.32

***

(11)
Density functional theory data (PBE-GGA) for a relaxed InTeOs2 crystal.

Computed properties:
Space-group type: P4/mmm
E above lowest polymorph: 1.258 eV/f.u.
Formation energy without anion corrections: 0.7106 eV/atom

a = 3.2852 Å, b = 3.2852 Å, c = 6.5053 Å
α = 90.00°, β = 90.00°, γ = 90.00°
Closest atoms and distances in Å follow each position.
Fractional coordinates of all 4 atoms:
In 0.5000 0.5000 0.7500  8 Os 2.85
Os 0.0000 0.0000 0.0046  4 Te 2.82, 4 In 2.85
Os 0.0000 0.0000 0.4954  4 Te 2.82, 4 In 2.85
Te 0.5000 0.5000 0.2500  8 Os 2.82

***

(12)
Density functional theory data (PBE-GGA) for a relaxed SrAsCl3 crystal.

Computed properties:
Space-group type: Pm-3m
E above lowest polymorph: 0.000 eV/f.u.
Formation energy without anion corrections: -0.8659 eV/atom

a = 5.6451 Å, b = 5.6451 Å, c = 5.6451 Å
α = 90.00°, β = 90.00°, γ = 90.00°
Closest atoms and distances in Å follow each position.
Fractional coordinates of all 5 atoms:
Sr 0.0000 0.0000 0.0000  6 Cl 2.82
As 0.5000 0.5000 0.5000  12 Cl 3.99
Cl 0.0000 0.5000 0.0000  2 Sr 2.82
Cl 0.0000 0.0000 0.5000  2 Sr 2.82
Cl 0.5000 0.0000 0.0000  2 Sr 2.82